## i
Compound: KRbCo3
Source: Alexandria via LeMat-Bulk
Functional: GGA-PBE
Structure: optimized geometry

Cell lengths 6.022, 6.022, 6.022 Å; angles 90.00, 90.00, 90.00 degrees
Space group Pm-3m (No. 221)
Inequivalent atoms, fractional coordinates:
K  0.000  0.000  0.000
Rb  0.500  0.500  0.500
Co  0.000  0.500  0.500

* total magnetization: 7.00 Bohr magnetons per cell

=====

## ii
Compound: KRbCo3
Source: Alexandria via LeMat-Bulk
Functional: GGA-PBE
Structure: optimized geometry

Cell lengths 5.883, 5.883, 5.883 Å; angles 90.00, 90.00, 90.00 degrees
Space group Pm-3m (No. 221)
Inequivalent atoms, fractional coordinates:
K  0.000  0.000  0.000
Rb  0.500  0.500  0.500
Co  0.000  0.000  0.500

* total magnetization: 7.00 Bohr magnetons per cell

=====

Which structure is the most stable? The one labeled ii.

=====

## i
Compound: K3RbCo
Source: Alexandria via LeMat-Bulk
Functional: GGA-PBE
Structure: optimized geometry

Cell lengths 6.711, 6.711, 6.711 Å; angles 90.00, 90.00, 90.00 degrees
Space group Pm-3m (No. 221)
Inequivalent atoms, fractional coordinates:
K  0.000  0.000  0.500
Rb  0.500  0.500  0.500
Co  0.000  0.000  0.000

* total magnetization: 1.57 Bohr magnetons per cell

=====

## ii
Compound: K3RbCo
Source: Alexandria via LeMat-Bulk
Functional: GGA-PBE
Structure: optimized geometry

Cell lengths 7.565, 7.565, 7.565 Å; angles 90.00, 90.00, 90.00 degrees
Space group Pm-3m (No. 221)
Inequivalent atoms, fractional coordinates:
K  0.000  0.000  0.500
Rb  0.000  0.000  0.000
Co  0.500  0.500  0.500

* total magnetization: 2.20 Bohr magnetons per cell

=====

Which structure is the most stable? The one labeled i.

=====

## i
Compound: KCoRe
Source: Alexandria via LeMat-Bulk
Functional: GGA-PBE
Structure: optimized geometry

Cell lengths 7.266, 3.831, 11.713 Å; angles 90.00, 94.86, 90.00 degrees
Space group Cm (No. 8)
Inequivalent atoms, fractional coordinates:
K  0.000  0.000  0.000
K  0.174  0.500  0.627
Co  0.351  0.000  0.198
Co  0.498  0.500  0.391
Re  0.169  0.500  0.268
Re  0.315  0.000  0.395

* total magnetization: 0.40 Bohr magnetons per cell

=====

## ii
Compound: KCoRe
Source: Alexandria via LeMat-Bulk
Functional: GGA-PBE
Structure: optimized geometry

Cell lengths 2.7950, 2.7950, 7.8647 Å; angles 90.00, 90.00, 120.00 degrees
Space group P3m1 (No. 156)
Inequivalent atoms, fractional coordinates:
K  0.0000  0.0000  0.0000
Co  0.3333  0.6667  0.6330
Re  0.6667  0.3333  0.3890

* total magnetization: 1.39 Bohr magnetons per cell

=====

Which structure is the most stable? The one labeled i.

=====

## i
Compound: KCoRe2
Source: Alexandria via LeMat-Bulk
Functional: GGA-PBE
Structure: optimized geometry

Cell lengths 3.281, 4.156, 9.843 Å; angles 90.00, 90.00, 90.00 degrees
Space group Cmmm (No. 65)
Inequivalent atoms, fractional coordinates:
K  0.000  0.000  0.000
Co  0.000  0.000  0.500
Re  0.000  0.500  0.307

* total magnetization: 1.32 Bohr magnetons per cell

=====

## ii
Compound: KCoRe2
Source: Alexandria via LeMat-Bulk
Functional: GGA-PBE
Structure: optimized geometry

Cell lengths 3.769, 3.950, 9.387 Å; angles 90.00, 90.00, 90.00 degrees
Space group Cmm2 (No. 35)
Inequivalent atoms, fractional coordinates:
K  0.000  0.000  0.000
Co  0.000  0.500  0.706
Re  0.000  0.000  0.543
Re  0.000  0.500  0.319

* total magnetization: 0.00 Bohr magnetons per cell

=====

## iii
Compound: KCoRe2
Source: Alexandria via LeMat-Bulk
Functional: GGA-PBE
Structure: optimized geometry

Cell lengths 3.712, 3.712, 9.958 Å; angles 90.00, 90.00, 90.00 degrees
Space group I4/mmm (No. 139)
Inequivalent atoms, fractional coordinates:
K  0.000  0.000  0.000
Co  0.000  0.000  0.500
Re  0.000  0.500  0.250

* total magnetization: 2.67 Bohr magnetons per cell

=====

## iv
Compound: KCoRe2
Source: Alexandria via LeMat-Bulk
Functional: GGA-PBE
Structure: optimized geometry

Cell lengths 2.940, 5.450, 9.500 Å; angles 90.00, 90.00, 90.00 degrees
Space group Imm2 (No. 44)
Inequivalent atoms, fractional coordinates:
K  0.000  0.000  0.000
Co  0.000  0.500  0.788
Re  0.000  0.000  0.493
Re  0.000  0.500  0.195

* total magnetization: 1.37 Bohr magnetons per cell

=====

Which structure is the most stable? The one labeled ii.

=====

## i
Compound: KCoRe2
Source: Alexandria via LeMat-Bulk
Functional: GGA-PBE
Structure: optimized geometry

Cell lengths 2.603, 5.114, 5.136 Å; angles 90.00, 90.12, 90.00 degrees
Space group P2/m (No. 10)
Inequivalent atoms, fractional coordinates:
K  0.000  0.000  0.000
Co  0.500  0.000  0.500
Re  0.329  0.500  0.732

* total magnetization: 1.65 Bohr magnetons per cell

=====

## ii
Compound: KCoRe2
Source: Alexandria via LeMat-Bulk
Functional: GGA-PBE
Structure: optimized geometry

Cell lengths 2.7410, 2.7410, 30.6028 Å; angles 90.00, 90.00, 120.00 degrees
Space group R-3m (No. 166, hexagonal axes)
Inequivalent atoms, fractional coordinates:
K  0.0000  0.0000  0.0000
Co  0.0000  0.0000  0.5000
Re  0.0000  0.0000  0.2331

* total magnetization: 1.64 Bohr magnetons per cell

=====

## iii
Compound: KCoRe2
Source: Alexandria via LeMat-Bulk
Functional: GGA-PBE
Structure: optimized geometry

Cell lengths 5.376, 10.303, 2.587 Å; angles 90.00, 109.21, 90.00 degrees
Space group C2/m (No. 12)
Inequivalent atoms, fractional coordinates:
K  0.000  0.000  0.000
Co  0.000  0.500  0.000
Re  0.250  0.250  0.500

* total magnetization: 4.04 Bohr magnetons per cell

=====

## iv
Compound: KCoRe2
Source: Alexandria via LeMat-Bulk
Functional: GGA-PBE
Structure: optimized geometry

Cell lengths 6.346, 6.346, 6.346 Å; angles 90.00, 90.00, 90.00 degrees
Space group F-43m (No. 216)
Inequivalent atoms, fractional coordinates:
K  0.000  0.000  0.000
Co  0.250  0.250  0.250
Re  0.000  0.000  0.500
Re  0.250  0.250  0.750

* total magnetization: 3.32 Bohr magnetons per cell

=====

Which structure is the most stable? The one labeled ii.

=====

## i
Compound: KCoRe2
Source: Alexandria via LeMat-Bulk
Functional: GGA-PBE
Structure: optimized geometry

Cell lengths 2.622, 3.456, 8.500 Å; angles 90.00, 90.00, 90.00 degrees
Space group Pmmm (No. 47)
Inequivalent atoms, fractional coordinates:
K  0.000  0.000  0.000
Co  0.000  0.000  0.500
Re  0.500  0.500  0.347

* total magnetization: 0.27 Bohr magnetons per cell

=====

## ii
Compound: KCoRe2
Source: Alexandria via LeMat-Bulk
Functional: GGA-PBE
Structure: optimized geometry

Cell lengths 3.691, 3.691, 5.045 Å; angles 90.00, 90.00, 90.00 degrees
Space group P4/mmm (No. 123)
Inequivalent atoms, fractional coordinates:
K  0.000  0.000  0.000
Co  0.500  0.500  0.000
Re  0.000  0.500  0.500

* total magnetization: 1.24 Bohr magnetons per cell

=====

## iii
Compound: KCoRe2
Source: Alexandria via LeMat-Bulk
Functional: GGA-PBE
Structure: optimized geometry

Cell lengths 8.918, 2.660, 7.071 Å; angles 90.00, 94.61, 90.00 degrees
Space group Cm (No. 8)
Inequivalent atoms, fractional coordinates:
K  0.000  0.000  0.000
Co  0.228  0.000  0.652
Re  0.017  0.500  0.512
Re  0.272  0.500  0.368

* total magnetization: 2.02 Bohr magnetons per cell

=====

Which structure is the most stable? The one labeled iii.